Entry 1:
Density functional theory data (PBE-GGA) for a relaxed structure of Pr2AlBiO6.

Results
As for the energy relative to the elements, uncorrected: -25.36 eV per formula unit. The value obtained for the size of the total moment is 0.0 μB per cell. The total energy comes out at -7.23 eV per atom.

Lattice parameters (Å, degrees): 5.4327 5.4327 5.2502 90.00 90.00 90.00
Closest atoms and distances in Å follow each position.
Element x y z (fractional)
Pr  0.0000  0.5000  0.0000  4 O 2.39
Pr  0.5000  0.0000  0.0000  4 O 2.39
Al  0.0000  0.0000  0.5994  5 O 1.80-1.89
Bi  0.5000  0.5000  0.5565  5 O 2.27-2.32
O  0.0000  0.0000  0.2560  1 Al 1.80
O  0.2294  0.2294  0.7317  1 Al 1.89
O  0.2294  0.7706  0.7317  1 Al 1.89
O  0.5000  0.5000  0.1142  1 Bi 2.32
O  0.7706  0.2294  0.7317  1 Al 1.89
O  0.7706  0.7706  0.7317  1 Al 1.89


Entry 2:
Density functional theory data (PBE-GGA) for a relaxed structure of PuAlBiO6.

Results
As for the energy relative to the elements, uncorrected: -20.07 eV per formula unit. The value obtained for the size of the total moment is 4.0 μB per cell. The total energy comes out at -7.97 eV per atom.

Lattice parameters (Å, degrees): 5.3000 5.3000 10.0235 90.00 90.00 120.00
Closest atoms and distances in Å follow each position.
Element x y z (fractional)
Pu  0.3333  0.6667  0.2500  6 O 2.08
Pu  0.6667  0.3333  0.7500  6 O 2.08
Al  0.3333  0.6667  0.7500  6 O 1.94
Al  0.6667  0.3333  0.2500  6 O 1.94
Bi  0.0000  0.0000  0.0000  6 O 2.39
Bi  0.0000  0.0000  0.5000  6 O 2.39
O  0.0193  0.3719  0.6424  1 Al 1.94, 1 Pu 2.08
O  0.0193  0.6474  0.8576  1 Al 1.94, 1 Pu 2.08
O  0.3526  0.3719  0.8576  1 Al 1.94, 1 Pu 2.08
O  0.3526  0.9807  0.6424  1 Al 1.94, 1 Pu 2.08
O  0.3719  0.0193  0.1424  1 Al 1.94, 1 Pu 2.08
O  0.3719  0.3526  0.3576  1 Al 1.94, 1 Pu 2.08
O  0.6281  0.6474  0.6424  1 Al 1.94, 1 Pu 2.08
O  0.6281  0.9807  0.8576  1 Al 1.94, 1 Pu 2.08
O  0.6474  0.0193  0.3576  1 Al 1.94, 1 Pu 2.08
O  0.6474  0.6281  0.1424  1 Al 1.94, 1 Pu 2.08
O  0.9807  0.3526  0.1424  1 Al 1.94, 1 Pu 2.08
O  0.9807  0.6281  0.3576  1 Al 1.94, 1 Pu 2.08


Entry 3:
Density functional theory data (PBE-GGA) for a relaxed structure of Rb2Al2BiO6.

Results
As for the energy relative to the elements, uncorrected: -20.33 eV per formula unit. The value obtained for the size of the total moment is 0.0 μB per cell. The total energy comes out at -5.76 eV per atom.

Lattice parameters (Å, degrees): 7.1983 7.1983 7.1983 49.40 49.40 49.40
Closest atoms and distances in Å follow each position.
Element x y z (fractional)
Rb  0.2035  0.2035  0.2035  9 O 3.02-3.19
Rb  0.7965  0.7965  0.7965  9 O 3.02-3.19
Al  0.4022  0.4022  0.4022  3 O 1.71
Al  0.5978  0.5978  0.5978  3 O 1.71
Bi  0.0000  0.0000  0.0000  6 O 2.25
O  0.2430  0.2430  0.7356  1 Al 1.71
O  0.2430  0.7356  0.2430  1 Al 1.71
O  0.2644  0.7570  0.7570  1 Al 1.71
O  0.7356  0.2430  0.2430  1 Al 1.71
O  0.7570  0.2644  0.7570  1 Al 1.71
O  0.7570  0.7570  0.2644  1 Al 1.71


Entry 4:
Density functional theory data (PBE-GGA) for a relaxed structure of Rb3Al2BiO6.

Results
As for the energy relative to the elements, uncorrected: -22.38 eV per formula unit. The value obtained for the size of the total moment is 0.0 μB per cell. The total energy comes out at -5.53 eV per atom.

Lattice parameters (Å, degrees): 6.1777 6.1777 7.4852 90.00 90.00 120.00
Closest atoms and distances in Å follow each position.
Element x y z (fractional)
Rb  0.0000  0.0000  0.0000  6 O 2.90
Rb  0.3333  0.6667  0.7486  6 O 3.11, 1 Al 3.35
Rb  0.6667  0.3333  0.2514  6 O 3.11, 1 Al 3.35
Al  0.3333  0.6667  0.3008  3 O 1.71
Al  0.6667  0.3333  0.6992  3 O 1.71
Bi  0.0000  0.0000  0.5000  6 O 2.39
O  0.1733  0.3465  0.2980  1 Al 1.71
O  0.1733  0.8267  0.2980  1 Al 1.71
O  0.3465  0.1733  0.7020  1 Al 1.71
O  0.6535  0.8267  0.2980  1 Al 1.71
O  0.8267  0.1733  0.7020  1 Al 1.71
O  0.8267  0.6535  0.7020  1 Al 1.71


size of the total moment of number 1 (Pr2AlBiO6)?
0.0 μB per cell


Which value of size of the total moment does entry 2 give?
4.0 μB per cell


The highest energy relative to the elements, uncorrected belongs to which entry?
PuAlBiO6